BeCoOF2: relaxed, PBE with a Hubbard U.

Results
Density   4.42 g/cm3
Offset from the most stable computed form   0.000 eV per atom

abc: 3.1998 3.1998 4.4769
angles: 90.00 90.00 90.00
With the nearest neighbours (Å) after each atom.
Fractional coordinates of all 5 atoms:
Be (0.0000, 0.0000, 0.0000)  4 F 1.60
Co (0.5000, 0.5000, 0.5000)  4 O 2.26
O (0.0000, 0.0000, 0.5000)  2 Be 2.24, 4 Co 2.26
F (0.0000, 0.5000, 0.0000)  2 Be 1.60
F (0.5000, 0.0000, 0.0000)  2 Be 1.60